[1]
Material: K2YCr
Method: DFT, GGA-PBE
State: optimized geometry

Unit cell a=7.8512 b=7.8512 c=7.8512 alpha=153.33 beta=128.60 gamma=58.84
Closest atoms and distances in Å follow each position.
Positions (direct):
Y: 0.4398 0.4398 0.0000  2 Cr 2.92
K: 0.0429 0.0429 0.0000  2 K 3.62, 2 Cr 3.62
K: 0.7450 0.2450 0.5000  2 K 3.62, 4 Cr 3.87
Cr: 0.2723 0.7723 0.5000  2 Y 2.92

Output
Crystal system = orthorhombic
Uncorrected energy = -3.7559 eV per atom
Total magnetization = 3.82 μB/f.u.
Energy relative to the lowest polymorph listed for this composition = 0.244 eV/atom

[2]
Material: KMn2Ag
Method: DFT, GGA-PBE
State: optimized geometry

Unit cell a=5.6271 b=5.6271 c=5.6271 alpha=135.22 beta=135.22 gamma=65.19
Closest atoms and distances in Å follow each position.
Positions (direct):
Mn: 0.5000 0.5000 0.0000  4 Mn 3.03, 4 K 3.20, 4 Ag 3.20
Mn: 0.0000 0.0000 0.0000  4 Mn 3.03, 4 K 3.20, 4 Ag 3.20
Ag: 0.2500 0.7500 0.5000  4 K 3.03, 8 Mn 3.20
K: 0.7500 0.2500 0.5000  4 Ag 3.03, 8 Mn 3.20

Output
Crystal system = tetragonal
Uncorrected energy = -4.6128 eV per atom
Total magnetization = 8.29 μB/f.u.
Energy relative to the lowest polymorph listed for this composition = 0.356 eV/atom

[3]
Material: U2BPt2Rh4
Method: DFT, GGA-PBE
State: optimized geometry

Unit cell a=5.8525 b=5.8525 c=5.8525 alpha=92.20 beta=118.74 gamma=118.74
Closest atoms and distances in Å follow each position.
Positions (direct):
Pt: 0.0000 0.7389 0.7389  1 B 2.12
Pt: 0.0000 0.2611 0.2611  1 B 2.12
U: 0.5000 0.7500 0.2500  8 Rh 2.93, 4 Pt 2.98
U: 0.5000 0.2500 0.7500  8 Rh 2.93, 4 Pt 2.98
Rh: 0.5050 0.2525 0.2525  1 B 2.13
Rh: 0.0000 0.7475 0.2525  1 B 2.13
B: 0.0000 0.0000 0.0000  2 Pt 2.12, 4 Rh 2.13
Rh: 0.0000 0.2525 0.7475  1 B 2.13
Rh: 0.4950 0.7475 0.7475  1 B 2.13

Output
Crystal system = tetragonal
Uncorrected energy = -8.5395 eV per atom
Total magnetization = 3.23 μB/f.u.

[4]
Material: HfSnCl2
Method: DFT, GGA-PBE
State: optimized geometry

Unit cell a=4.4128 b=4.4128 c=9.8336 alpha=77.03 beta=77.03 gamma=90.00
Closest atoms and distances in Å follow each position.
Positions (direct):
Cl: 0.6554 0.1250 0.2500  2 Hf 2.76, 2 Sn 2.86, 2 Cl 2.94
Hf: 0.0000 0.0000 0.0000  4 Cl 2.76
Sn: 0.2500 0.7500 0.5000  4 Cl 2.86, 4 Hf 3.12
Cl: 0.3750 0.3446 0.7500  2 Hf 2.76, 2 Sn 2.86, 2 Cl 2.94
Cl: 0.0946 0.6250 0.2500  2 Hf 2.76, 2 Sn 2.86, 2 Cl 2.94
Hf: 0.7500 0.2500 0.5000  4 Cl 2.76
Sn: 0.5000 0.5000 0.0000  4 Cl 2.86, 4 Hf 3.12
Cl: 0.8750 0.9054 0.7500  2 Hf 2.76, 2 Sn 2.86, 2 Cl 2.94

Output
Crystal system = tetragonal
E_form (uncorrected) = -2.11 eV per formula unit
Uncorrected energy = -4.9388 eV per atom
Total magnetization = 0.00 μB/f.u.
Energy relative to the lowest polymorph listed for this composition = 0.384 eV/atom

[5]
Material: Fe3Co2
Method: DFT, GGA-PBE
State: optimized geometry

Unit cell a=4.2610 b=4.7287 c=6.6374 alpha=66.01 beta=71.28 gamma=63.22
Closest atoms and distances in Å follow each position.
Positions (direct):
Co: 0.7700 0.7540 0.0489  9 Fe 2.43-2.53, 3 Co 2.46-2.52
Co: 0.4270 0.2540 0.5489  9 Fe 2.43-2.53, 3 Co 2.46-2.52
Fe: 0.9782 0.7445 0.6486  6 Co 2.43-2.53, 6 Fe 2.46-2.50
Co: 0.2300 0.2460 0.9511  9 Fe 2.43-2.53, 3 Co 2.46-2.52
Fe: 0.6287 0.2445 0.1486  6 Co 2.43-2.53, 6 Fe 2.46-2.50
Fe: 0.1724 0.7500 0.2500  6 Co 2.43-2.48, 6 Fe 2.48-2.50
Fe: 0.8276 0.2500 0.7500  6 Co 2.43-2.48, 6 Fe 2.48-2.50
Co: 0.5730 0.7460 0.4511  9 Fe 2.43-2.53, 3 Co 2.46-2.52
Fe: 0.3713 0.7555 0.8514  6 Co 2.43-2.53, 6 Fe 2.46-2.50
Fe: 0.0218 0.2555 0.3514  6 Co 2.43-2.53, 6 Fe 2.46-2.50

Output
Crystal system = monoclinic
Uncorrected energy = -7.8073 eV per atom
Total magnetization = 3.06 μB/f.u.
Energy relative to the lowest polymorph listed for this composition = 0.162 eV/atom

[6]
Material: Sb2WAuI
Method: DFT, GGA-PBE
State: optimized geometry

Unit cell a=5.3697 b=5.3697 c=5.4474 alpha=90.00 beta=90.00 gamma=90.00
Closest atoms and distances in Å follow each position.
Positions (direct):
W: 0.5000 0.5000 0.5000  4 I 3.80, 8 Sb 3.82
I: 0.0000 0.0000 0.5000  2 Au 2.72
Au: 0.0000 0.0000 0.0000  4 Sb 2.68, 2 I 2.72
Sb: 0.0000 0.5000 0.0000  2 Au 2.68
Sb: 0.5000 0.0000 0.0000  2 Au 2.68

Output
Crystal system = tetragonal
E_form (uncorrected) = 7.94 eV per formula unit
Uncorrected energy = -3.6173 eV per atom
Total magnetization = 3.28 μB/f.u.
Energy relative to the lowest polymorph listed for this composition = 0.757 eV/atom

[7]
Material: HfNbAs
Method: DFT, GGA-PBE
State: optimized geometry

Unit cell a=5.0905 b=5.1977 c=5.1986 alpha=63.11 beta=72.66 gamma=73.05
Closest atoms and distances in Å follow each position.
Positions (direct):
Hf: 0.0196 0.6740 0.6179  4 As 2.68-2.89, 1 Nb 2.82
As: 0.8594 0.2029 0.1523  4 Nb 2.67-2.86, 4 Hf 2.77-2.86
Nb: 0.6311 0.7408 0.2170  2 Hf 2.65-2.79, 4 As 2.76-2.84
As: 0.4143 0.8064 0.7583  4 Hf 2.68-2.89, 4 Nb 2.76-2.84
Nb: 0.2613 0.3326 0.2817  4 As 2.67-2.86, 1 Hf 2.82
Hf: 0.6332 0.2547 0.7051  2 Nb 2.65-2.79, 4 As 2.74-2.87

Output
Crystal system = triclinic
Uncorrected energy = -8.6656 eV per atom
Total magnetization = 0.00 μB/f.u.

[8]
Material: SrYAgHg
Method: DFT, GGA-PBE
State: optimized geometry

Unit cell a=5.3852 b=5.3852 c=5.3852 alpha=60.00 beta=60.00 gamma=60.00
Closest atoms and distances in Å follow each position.
Positions (direct):
Sr: 0.2500 0.2500 0.2500  4 Hg 3.30, 4 Ag 3.30
Y: 0.7500 0.7500 0.7500  4 Hg 3.30, 4 Ag 3.30
Ag: 0.0000 0.0000 0.0000  4 Sr 3.30, 4 Y 3.30
Hg: 0.5000 0.5000 0.5000  4 Y 3.30, 4 Sr 3.30

Output
Crystal system = cubic
Uncorrected energy = -3.1585 eV per atom
Total magnetization = 0.00 μB/f.u.

[9]
Material: HfZrVRe
Method: DFT, GGA-PBE
State: optimized geometry

Unit cell a=4.6953 b=4.6953 c=4.6953 alpha=60.00 beta=60.00 gamma=60.00
Closest atoms and distances in Å follow each position.
Positions (direct):
V: 0.7500 0.7500 0.7500  4 Zr 2.88, 4 Hf 2.88
Zr: 0.0000 0.0000 0.0000  4 Re 2.88, 4 V 2.88
Re: 0.2500 0.2500 0.2500  4 Hf 2.88, 4 Zr 2.88
Hf: 0.5000 0.5000 0.5000  4 Re 2.88, 4 V 2.88

Output
Crystal system = cubic
Uncorrected energy = -10.1264 eV per atom
Total magnetization = 2.70 μB/f.u.

[10]
Material: Ca2CeScSe4
Method: DFT, GGA-PBE
State: optimized geometry

Unit cell a=4.1035 b=7.0935 c=7.2446 alpha=109.05 beta=90.00 gamma=90.00
Closest atoms and distances in Å follow each position.
Positions (direct):
Ca: 0.5000 0.0000 0.5000  6 Se 2.89-2.90
Ca: 0.0000 0.5000 0.5000  6 Se 2.99-3.00
Ce: 0.5000 0.5000 0.0000  6 Se 2.95
Sc: 0.0000 0.0000 0.0000  6 Se 2.85
Se: 0.5000 0.7655 0.7608  2 Sc 2.85, 3 Ca 2.90-3.00, 1 Ce 2.95
Se: 0.5000 0.2345 0.2392  2 Sc 2.85, 3 Ca 2.90-3.00, 1 Ce 2.95
Se: 0.0000 0.7619 0.2491  1 Sc 2.85, 3 Ca 2.89-2.99, 2 Ce 2.95
Se: 0.0000 0.2381 0.7509  1 Sc 2.85, 3 Ca 2.89-2.99, 2 Ce 2.95

Output
Crystal system = monoclinic
E_form (uncorrected) = -14.39 eV per formula unit
Uncorrected energy = -5.5740 eV per atom
Total magnetization = 1.52 μB/f.u.

[11]
Material: BIr2Cl
Method: DFT, GGA-PBE
State: optimized geometry

Unit cell a=4.1660 b=4.1660 c=4.1660 alpha=60.00 beta=60.00 gamma=60.00
Closest atoms and distances in Å follow each position.
Positions (direct):
Ir: 0.7500 0.7500 0.7500  4 B 2.55, 4 Cl 2.55
Cl: 0.5000 0.5000 0.5000  8 Ir 2.55
B: 0.0000 0.0000 0.0000  8 Ir 2.55
Ir: 0.2500 0.2500 0.2500  4 Cl 2.55, 4 B 2.55

Output
Crystal system = cubic
E_form (uncorrected) = 4.69 eV per formula unit
Uncorrected energy = -5.3898 eV per atom
Total magnetization = 0.00 μB/f.u.
Energy relative to the lowest polymorph listed for this composition = 0.653 eV/atom